Entry 1:
This record from Alexandria describes an optimized crystal structure of TlIn3Pb. The functional is PBE.

a = 5.867 Å, b = 5.867 Å, c = 5.867 Å
α = 90.00°, β = 90.00°, γ = 90.00°
Space group Pm-3m (No. 221)
One atom of each set of equivalent atoms:
Tl1 0.000 0.000 0.000 [1 per cell]
In1 0.000 0.500 0.500 [3 per cell]
Pb1 0.500 0.500 0.500 [1 per cell]

Properties
Energy relative to the elements ... 0.46 eV/atom

=====

Entry 2:
This record from Alexandria describes an optimized crystal structure of V2Cu3Pd8. The functional is PBE.

a = 11.044 Å, b = 6.968 Å, c = 5.207 Å
α = 90.00°, β = 97.53°, γ = 90.00°
Space group C2/m (No. 12)
One atom of each set of equivalent atoms:
V1 0.205 0.000 0.270 [4 per cell]
Cu1 0.000 0.000 0.500 [2 per cell]
Cu2 0.000 0.172 0.000 [4 per cell]
Pd1 0.094 0.500 0.869 [4 per cell]
Pd2 0.122 0.304 0.422 [8 per cell]
Pd3 0.194 0.000 0.805 [4 per cell]

Properties
Energy relative to the elements ... 0.01 eV/atom

=====

Entry 3:
This record from Alexandria describes an optimized crystal structure of Sm3Er5Bi8. The functional is PBE.

a = 8.9824 Å, b = 8.9824 Å, c = 21.9862 Å
α = 90.00°, β = 90.00°, γ = 120.00°
Space group R-3m (No. 166, hexagonal axes)
One atom of each set of equivalent atoms:
Sm1 0.0000 0.5000 0.0000 [9 per cell]
Er1 0.0000 0.0000 0.0000 [3 per cell]
Er2 0.0000 0.0000 0.5000 [3 per cell]
Er3 0.0000 0.5000 0.5000 [9 per cell]
Bi1 0.0000 0.0000 0.2474 [6 per cell]
Bi2 0.0034 0.5017 0.7517 [18 per cell]

Properties
Energy relative to the elements ... -0.85 eV/atom

=====

Entry 4:
This record from Alexandria describes an optimized crystal structure of LaReRu2. The functional is PBE.

a = 3.037 Å, b = 4.508 Å, c = 5.470 Å
α = 90.00°, β = 100.55°, γ = 90.00°
Space group Pm (No. 6)
One atom of each set of equivalent atoms:
La1 0.000 0.000 0.000 [1 per cell]
Re1 0.770 0.500 0.425 [1 per cell]
Ru1 0.403 0.000 0.494 [1 per cell]
Ru2 0.415 0.500 0.812 [1 per cell]

Properties
Energy relative to the elements ... 0.34 eV/atom